(1)
LaZrAs | PBEsol | relaxed

```
LaZrAs
1.0
3.813 0.000 0.000
-1.907 3.302 0.000
0.000 0.000 6.302
La Zr As
1 1 1
Cartesian
0.000 0.000 0.000
0.000 2.202 3.418
1.907 1.101 1.963
```

Formation energy   -188 kJ/mol of formula units
N(E_F)   3.101 states/eV/cell

=====

(2)
ZnTe2N | PBEsol | relaxed

```
ZnTe2N
1.0
5.363 0.000 0.000
0.000 5.363 0.000
0.000 0.000 12.678
Zn Te N
4 8 4
Cartesian
0.000 0.000 0.000
0.000 2.682 3.170
2.682 0.000 9.509
2.682 2.682 6.339
0.990 1.341 7.924
1.341 3.672 11.093
1.341 4.373 4.754
1.691 1.341 1.585
3.672 4.023 1.585
4.023 0.990 4.754
4.023 1.691 11.093
4.373 4.023 7.924
0.000 0.000 6.339
0.000 2.682 9.509
2.682 0.000 3.170
2.682 2.682 0.000
```

Distance to the lowest polymorph of the same formula   0 meV/atom
Formation energy from raw total energies   0.559 eV/atom
N(E_F)   11.523 states/eV/cell

=====

(3)
CaCdIn2 | PBEsol | relaxed

```
CaCdIn2
1.0
4.638 0.000 0.000
0.000 4.638 0.000
0.000 0.000 9.101
Ca Cd In
2 2 4
Cartesian
0.000 0.000 0.000
2.319 2.319 4.550
0.000 2.319 6.825
2.319 0.000 2.275
0.000 0.000 4.550
0.000 2.319 2.275
2.319 0.000 6.825
2.319 2.319 0.000
```

Formation energy   -112 kJ/mol of formula units
N(E_F)   3.769 states/eV/cell

=====

(4)
Ca5Au4 | PBEsol | relaxed

```
Ca5Au4
1.0
7.949 0.000 0.000
0.000 7.960 0.000
-2.509 0.000 7.197
Ca Au
10 8
Cartesian
0.000 0.000 0.000
-1.255 3.980 3.599
0.145 1.370 5.414
1.399 2.610 1.816
0.110 5.393 6.712
1.364 6.547 3.114
4.075 1.413 4.084
5.330 2.567 0.485
4.040 5.350 5.382
5.295 6.590 1.783
-0.214 5.022 0.932
-1.468 6.918 4.530
2.973 0.254 1.026
1.718 3.726 4.625
3.721 4.234 2.572
2.467 7.706 6.171
6.908 1.042 2.667
5.653 2.938 6.266
```

Formation energy   -629 kJ/mol of formula units
N(E_F)   9.160 states/eV/cell

=====

(5)
AsOs2Rh | PBEsol | relaxed

```
AsOs2Rh
1.0
2.773 0.000 0.000
0.000 3.634 0.000
0.000 0.000 5.620
As Os Rh
1 2 1
Cartesian
0.000 0.000 0.000
1.386 1.817 1.441
1.386 1.817 4.178
0.000 0.000 2.810
```

Formation energy   187 kJ/mol of formula units
N(E_F)   4.455 states/eV/cell

=====

(6)
CrNi2 | PBEsol | relaxed

```
CrNi2
1.0
9.136 0.000 0.000
0.000 2.452 0.000
-1.465 0.000 5.633
Cr Ni
4 8
Cartesian
-0.231 0.000 1.741
3.334 1.226 3.893
4.337 1.226 1.741
7.902 0.000 3.893
1.212 1.226 0.168
0.843 1.226 3.589
2.260 0.000 2.044
1.891 0.000 5.465
5.780 0.000 0.168
5.411 0.000 3.589
6.828 1.226 2.044
6.459 1.226 5.465
```

Formation energy   3 kJ/mol of formula units
N(E_F)   16.509 states/eV/cell